(1)
Compound: LaNd4Y8
Source: the Alexandria database
Functional: PBE
Structure: optimized geometry

## Properties
- Spin magnetization: 0.19 μB/atom
- DFT total energy: -5.3104 eV per atom
- Energy relative to the elements: 6.68 eV per formula unit
- Space-group type: No. 221
- Crystal system: cubic

a = 7.8874 Å, b = 7.8874 Å, c = 7.8874 Å
α = 90.00°, β = 90.00°, γ = 90.00°
Element x y z (fractional)
La1 0.0000 0.0000 0.0000
Nd1 0.0000 0.0000 0.5000
Nd2 0.0000 0.5000 0.0000
Nd3 0.5000 0.0000 0.0000
Nd4 0.5000 0.5000 0.5000
Y1 0.2610 0.2610 0.2610
Y2 0.2610 0.2610 0.7390
Y3 0.2610 0.7390 0.2610
Y4 0.2610 0.7390 0.7390
Y5 0.7390 0.2610 0.2610
Y6 0.7390 0.2610 0.7390
Y7 0.7390 0.7390 0.2610
Y8 0.7390 0.7390 0.7390

=====

(2)
Compound: Ti6Al16Ir7
Source: the Alexandria database
Functional: PBE
Structure: optimized geometry

## Properties
- Spin magnetization: 0.00 μB/atom
- DFT total energy: -6.5954 eV per atom
- Energy relative to the elements: -21.99 eV per formula unit
- Space-group type: No. 225
- Crystal system: cubic

a = 8.5914 Å, b = 8.5914 Å, c = 8.5914 Å
α = 60.00°, β = 60.00°, γ = 60.00°
Element x y z (fractional)
Ti1 0.1780 0.1780 0.8220
Ti2 0.1780 0.8220 0.1780
Ti3 0.1780 0.8220 0.8220
Ti4 0.8220 0.1780 0.1780
Ti5 0.8220 0.1780 0.8220
Ti6 0.8220 0.8220 0.1780
Al1 0.1386 0.6205 0.6205
Al2 0.1574 0.1574 0.1574
Al3 0.1574 0.1574 0.5277
Al4 0.1574 0.5277 0.1574
Al5 0.3795 0.3795 0.3795
Al6 0.3795 0.3795 0.8614
Al7 0.3795 0.8614 0.3795
Al8 0.4723 0.8426 0.8426
Al9 0.5277 0.1574 0.1574
Al10 0.6205 0.1386 0.6205
Al11 0.6205 0.6205 0.1386
Al12 0.6205 0.6205 0.6205
Al13 0.8426 0.4723 0.8426
Al14 0.8426 0.8426 0.4723
Al15 0.8426 0.8426 0.8426
Al16 0.8614 0.3795 0.3795
Ir1 0.0000 0.0000 0.5000
Ir2 0.0000 0.5000 0.0000
Ir3 0.0000 0.5000 0.5000
Ir4 0.5000 0.0000 0.0000
Ir5 0.5000 0.0000 0.5000
Ir6 0.5000 0.5000 0.0000
Ir7 0.5000 0.5000 0.5000

=====

(3)
Compound: Pm2ThGe6
Source: the Alexandria database
Functional: PBE
Structure: optimized geometry

## Properties
- Spin magnetization: 0.00 μB/atom
- DFT total energy: -5.5054 eV per atom
- Energy relative to the elements: -4.92 eV per formula unit
- Space-group type: No. 191
- Crystal system: hexagonal

a = 7.6995 Å, b = 7.6995 Å, c = 4.0170 Å
α = 90.00°, β = 90.00°, γ = 120.00°
Element x y z (fractional)
Pm1 0.3333 0.6667 0.0000
Pm2 0.6667 0.3333 0.0000
Th1 0.0000 0.0000 0.0000
Ge1 0.0000 0.3347 0.5000
Ge2 0.0000 0.6653 0.5000
Ge3 0.3347 0.0000 0.5000
Ge4 0.3347 0.3347 0.5000
Ge5 0.6653 0.0000 0.5000
Ge6 0.6653 0.6653 0.5000